Compound: Sm2Pd5Pb
Source: Alexandria
Functional: PBE-GGA
Structure: relaxed

Values from the calculation:
ΔH_f (0 K): -651.1 meV/atom
V: 324.10 Å³/cell
calculated density: 10.7 g cm⁻³

a = 6.3675 Å, b = 6.3675 Å, c = 7.9937 Å
α = 90.00°, β = 90.00°, γ = 90.00°
Closest atoms and distances in Å follow each position.
Space group I4mm (No. 107)
One atom of each set of equivalent atoms:
Sm 0.0000 0.5000 0.0000 [4 per cell]  10 Pd 2.97-3.18, 2 Pb 3.31
Pd 0.0000 0.0000 0.0079 [2 per cell]  8 Pd 2.91-3.14, 1 Pb 3.02, 4 Sm 3.18
Pd 0.2182 0.2182 0.7389 [8 per cell]  3 Pd 2.78-2.91, 1 Pb 2.79, 4 Sm 2.97-3.08
Pb 0.0000 0.0000 0.3851 [2 per cell]  5 Pd 2.79-3.02